Record 1
# LuTiSi

A relaxed LuTiSi crystal (GGA-PBEsol, Alexandria via LeMat-Bulk).

## Properties
* crystal system: tetragonal
* D(E_F): 5.7 states/eV per cell
* calculated total energy: -42.127 eV/cell
* SG: P4/nmm, No. 129
* E_form (uncorrected): -0.7075 eV/atom

POSCAR file:
```
LuTiSi
1.0
3.935 0.000 0.000
0.000 3.935 0.000
0.000 0.000 7.335
Lu Ti Si
2 2 2
direct
0.250 0.250 0.156
0.750 0.750 0.844
0.250 0.750 0.500
0.750 0.250 0.500
0.250 0.250 0.747
0.750 0.750 0.253
```

Record 2
# Sm3Lu

A relaxed Sm3Lu crystal (GGA-PBEsol, Alexandria via LeMat-Bulk).

## Properties
* crystal system: hexagonal
* calculated formation energy: 18 meV per atom
* D(E_F): 12.8 states/eV per cell
* calculated total energy: -40.157 eV/cell
* SG: P6_3/mmc, No. 194

POSCAR file:
```
Sm3Lu
1.0
7.111 0.000 0.000
-3.555 6.158 0.000
0.000 0.000 5.627
Sm Lu
6 2
direct
0.167 0.335 0.250
0.167 0.833 0.250
0.335 0.167 0.750
0.665 0.833 0.250
0.833 0.167 0.750
0.833 0.665 0.750
0.333 0.667 0.750
0.667 0.333 0.250
```

Record 3
# SmLuZn2

A relaxed SmLuZn2 crystal (GGA-PBEsol, Alexandria via LeMat-Bulk).

## Properties
* crystal system: cubic
* calculated formation energy: -326 meV per atom
* D(E_F): 4.4 states/eV per cell
* calculated total energy: -14.434 eV/cell
* SG: Fm-3m, No. 225

POSCAR file:
```
SmLuZn2
1.0
0.000 3.504 3.504
3.504 0.000 3.504
3.504 3.504 0.000
Sm Lu Zn
1 1 2
direct
0.000 0.000 0.000
0.500 0.500 0.500
0.250 0.250 0.250
0.750 0.750 0.750
```

The highest D(E_F) belongs to which entry? Sm3Lu

Number 2 is which compound? Sm3Lu

Look up the calculated total energy of the first one. -42.127 eV/cell

What is the D(E_F) in the third record? 4.4 states/eV per cell